No. 1
{
  "formula": "BaPuBeO6",
  "functional": "PBE",
  "state": "optimized geometry",
  "formation_energy_uncorrected_mev_per_atom": -2356,
  "lattice": [[5.482, 0.329, 0.097], [3.004, 4.593, -0.080], [0.121, -0.213, 5.708]],
  "species": ["O", "O", "Be", "O", "Ba", "Pu", "O", "O", "O"],
  "fractional_positions": [[0.348, 0.660, 0.340], [0.553, 0.061, 0.354], [0.389, 0.389, 0.500], [0.659, 0.348, 0.661], [0.951, 0.949, 0.000], [0.669, 0.669, 0.500], [0.061, 0.552, 0.645], [0.917, 0.453, 0.227], [0.454, 0.917, 0.773]]
}

=====

No. 2
{
  "formula": "BaPu2BeO8",
  "functional": "PBE",
  "state": "optimized geometry",
  "formation_energy_uncorrected_mev_per_atom": -2397,
  "lattice": [[-3.488, -3.202, 0.195], [2.566, -3.773, 3.550], [-3.445, 3.502, 4.871]],
  "species": ["Be", "O", "O", "Ba", "O", "O", "O", "O", "Pu", "O", "O", "Pu"],
  "fractional_positions": [[0.000, 0.000, 0.000], [0.438, 0.282, 0.468], [0.117, 0.821, 0.836], [0.000, 0.000, 0.500], [0.859, 0.385, 0.730], [0.610, 0.683, 0.052], [0.883, 0.179, 0.164], [0.390, 0.317, 0.948], [0.524, 0.456, 0.238], [0.141, 0.615, 0.270], [0.562, 0.718, 0.532], [0.476, 0.544, 0.762]]
}

=====

No. 3
{
  "formula": "BaPuBe2O8",
  "functional": "PBE",
  "state": "optimized geometry",
  "formation_energy_uncorrected_mev_per_atom": -1951,
  "lattice": [[5.055, 0.000, 0.000], [-2.527, 4.378, 0.000], [0.000, 0.000, 7.548]],
  "species": ["O", "Be", "O", "O", "O", "O", "O", "Ba", "Be", "Pu", "O", "O"],
  "fractional_positions": [[0.667, 0.333, 0.059], [0.333, 0.667, 0.727], [0.333, 0.667, 0.941], [0.937, 0.666, 0.339], [0.270, 0.937, 0.661], [0.730, 0.063, 0.339], [0.666, 0.730, 0.661], [0.000, 0.000, 0.000], [0.667, 0.333, 0.273], [0.000, 0.000, 0.500], [0.063, 0.334, 0.661], [0.334, 0.270, 0.339]]
}

=====

No. 4
{
  "formula": "BaPu3Be4O12",
  "functional": "PBE",
  "state": "optimized geometry",
  "formation_energy_uncorrected_mev_per_atom": -2723,
  "lattice": [[-3.440, -0.904, -5.709], [-2.998, -4.213, 4.301], [-2.032, 6.060, 2.093]],
  "species": ["O", "O", "Be", "O", "O", "Pu", "O", "Be", "O", "O", "O", "Pu", "Ba", "O", "O", "Be", "O", "O", "Be", "Pu"],
  "fractional_positions": [[0.909, 0.500, 0.091], [0.500, 0.352, 0.648], [0.059, 0.500, 0.941], [0.229, 0.382, 0.974], [0.500, 0.091, 0.909], [0.446, 0.000, 0.554], [0.771, 0.026, 0.618], [0.500, 0.941, 0.059], [0.382, 0.974, 0.229], [0.352, 0.648, 0.500], [0.618, 0.771, 0.026], [0.554, 0.446, 0.000], [0.000, 0.000, 0.000], [0.648, 0.500, 0.352], [0.026, 0.618, 0.771], [0.941, 0.059, 0.500], [0.974, 0.229, 0.382], [0.091, 0.909, 0.500], [0.500, 0.500, 0.500], [0.000, 0.554, 0.446]]
}

=====

No. 5
{
  "formula": "Rb2BaBe2O4",
  "functional": "PBE",
  "state": "optimized geometry",
  "formation_energy_uncorrected_mev_per_atom": -1998,
  "lattice": [[3.510, 0.000, 0.000], [0.000, 7.429, -0.129], [-1.755, -3.081, 6.055]],
  "species": ["O", "Be", "Rb", "Rb", "O", "Ba", "O", "Be", "O"],
  "fractional_positions": [[0.552, 0.787, 0.105], [0.322, 0.060, 0.643], [0.868, 0.425, 0.736], [0.132, 0.575, 0.264], [0.216, 0.097, 0.433], [0.000, 0.000, 0.000], [0.784, 0.903, 0.567], [0.678, 0.940, 0.357], [0.448, 0.213, 0.895]]
}

=====

No. 6
{
  "formula": "BaBeReO6",
  "functional": "PBE",
  "state": "optimized geometry",
  "formation_energy_uncorrected_mev_per_atom": -1964,
  "lattice": [[5.139, -0.108, 0.207], [2.485, 4.364, 0.202], [0.233, 0.127, 5.726]],
  "species": ["O", "Re", "Ba", "O", "O", "O", "O", "Be", "O"],
  "fractional_positions": [[0.007, 0.575, 0.692], [0.337, 0.323, 0.498], [0.911, 0.056, 0.981], [0.646, 0.958, 0.370], [0.074, 0.327, 0.297], [0.418, 0.018, 0.750], [0.569, 0.473, 0.606], [0.670, 0.733, 0.595], [0.368, 0.537, 0.210]]
}

=====

No. 7
{
  "formula": "BaBe2ReO8",
  "functional": "PBE",
  "state": "optimized geometry",
  "formation_energy_uncorrected_mev_per_atom": -1689,
  "lattice": [[5.225, 0.000, 0.000], [-2.613, 4.525, 0.000], [0.000, 0.000, 7.231]],
  "species": ["O", "O", "O", "Be", "O", "O", "Re", "Ba", "O", "O", "Be", "O"],
  "fractional_positions": [[0.333, 0.169, 0.346], [0.169, 0.835, 0.654], [0.333, 0.667, 0.951], [0.333, 0.667, 0.726], [0.165, 0.333, 0.654], [0.835, 0.667, 0.346], [0.000, 0.000, 0.500], [0.000, 0.000, 0.000], [0.667, 0.333, 0.049], [0.667, 0.831, 0.654], [0.667, 0.333, 0.274], [0.831, 0.165, 0.346]]
}

=====

No. 8
{
  "formula": "Ba2Be2RhO6",
  "functional": "PBE",
  "state": "optimized geometry",
  "formation_energy_uncorrected_mev_per_atom": -2112,
  "lattice": [[-3.498, 3.982, 1.488], [-5.313, -0.338, -1.403], [-3.995, -1.450, 4.675]],
  "species": ["Be", "Be", "Rh", "O", "O", "O", "O", "Ba", "O", "O", "Ba"],
  "fractional_positions": [[0.593, 0.593, 0.221], [0.407, 0.407, 0.779], [0.000, 0.000, 0.000], [0.734, 0.246, 0.774], [0.246, 0.734, 0.774], [0.754, 0.266, 0.226], [0.754, 0.754, 0.226], [0.777, 0.777, 0.669], [0.246, 0.246, 0.774], [0.266, 0.754, 0.226], [0.223, 0.223, 0.331]]
}

=====

No. 9
{
  "formula": "BaBe4Rh3O12",
  "functional": "PBE",
  "state": "optimized geometry",
  "formation_energy_uncorrected_mev_per_atom": -1515,
  "lattice": [[6.400, -0.075, -0.104], [-1.615, 6.194, -0.104], [-1.615, -2.064, 5.841]],
  "species": ["Be", "O", "Rh", "O", "Be", "O", "O", "O", "O", "O", "Be", "Rh", "O", "O", "Ba", "O", "Rh", "Be", "O", "O"],
  "fractional_positions": [[0.500, 0.500, 0.500], [0.345, 0.655, 0.500], [0.564, 0.436, 0.000], [0.500, 0.087, 0.913], [0.068, 0.500, 0.932], [0.244, 0.379, 0.966], [0.500, 0.345, 0.655], [0.913, 0.500, 0.087], [0.756, 0.034, 0.621], [0.621, 0.756, 0.034], [0.500, 0.932, 0.068], [0.436, 0.000, 0.564], [0.379, 0.966, 0.244], [0.966, 0.244, 0.379], [0.000, 0.000, 0.000], [0.655, 0.500, 0.345], [0.000, 0.564, 0.436], [0.932, 0.068, 0.500], [0.087, 0.913, 0.500], [0.034, 0.621, 0.756]]
}

=====

No. 10
{
  "formula": "Ba2BeRhO4",
  "functional": "PBE",
  "state": "optimized geometry",
  "formation_energy_uncorrected_mev_per_atom": -1764,
  "lattice": [[-0.316, 1.086, -5.183], [4.822, -1.824, -3.391], [-4.280, -7.635, -4.055]],
  "species": ["Ba", "Be", "O", "Ba", "O", "O", "Rh", "O", "O", "Rh", "Ba", "Be", "Ba", "O", "O", "O"],
  "fractional_positions": [[0.822, 0.000, 0.357], [0.250, 0.500, 0.500], [0.182, 0.306, 0.426], [0.572, 0.500, 0.857], [0.512, 0.306, 0.574], [0.836, 0.806, 0.926], [0.750, 0.500, 0.500], [0.568, 0.194, 0.074], [0.358, 0.806, 0.074], [0.000, 0.000, 0.000], [0.928, 0.500, 0.143], [0.500, 0.000, 0.000], [0.178, 0.000, 0.643], [0.392, 0.694, 0.426], [0.238, 0.194, 0.926], [0.914, 0.694, 0.574]]
}

=====

No. 11
{
  "formula": "BaBeRh2O",
  "functional": "PBE",
  "state": "optimized geometry",
  "formation_energy_uncorrected_mev_per_atom": 2282,
  "lattice": [[-0.941, -2.813, -4.218], [-4.552, -2.489, 2.675], [-3.088, 3.720, -1.793]],
  "species": ["O", "Ba", "Rh", "Rh", "Be"],
  "fractional_positions": [[0.500, 0.500, 0.500], [0.000, 0.000, 0.000], [0.000, 0.000, 0.500], [0.500, 0.000, 0.000], [0.000, 0.500, 0.000]]
}

=====

No. 12
{
  "formula": "BaBeRhO5",
  "functional": "PBE",
  "state": "optimized geometry",
  "formation_energy_uncorrected_mev_per_atom": -1489,
  "lattice": [[5.671, -0.019, -0.003], [-1.674, 5.418, -0.003], [-1.665, -2.249, 6.693]],
  "species": ["O", "O", "Be", "O", "Ba", "O", "Rh", "O", "O", "O", "O", "Rh", "O", "Ba", "O", "Be"],
  "fractional_positions": [[0.889, 0.286, 0.111], [0.937, 0.063, 0.750], [0.698, 0.302, 0.250], [0.611, 0.777, 0.909], [0.655, 0.345, 0.750], [0.111, 0.714, 0.889], [0.000, 0.000, 0.500], [0.777, 0.611, 0.409], [0.063, 0.937, 0.250], [0.389, 0.223, 0.091], [0.286, 0.889, 0.611], [0.000, 0.000, 0.000], [0.714, 0.111, 0.389], [0.345, 0.655, 0.250], [0.223, 0.389, 0.591], [0.302, 0.698, 0.750]]
}

=====

No. 13
{
  "formula": "BaBe2RuO8",
  "functional": "PBE",
  "state": "optimized geometry",
  "formation_energy_uncorrected_mev_per_atom": -1311,
  "lattice": [[5.020, 0.000, 0.000], [-2.510, 4.347, 0.000], [0.000, 0.000, 7.241]],
  "species": ["Ru", "Be", "O", "O", "O", "O", "Ba", "O", "O", "O", "Be", "O"],
  "fractional_positions": [[0.000, 0.000, 0.500], [0.333, 0.667, 0.720], [0.332, 0.256, 0.348], [0.668, 0.744, 0.652], [0.925, 0.668, 0.348], [0.744, 0.075, 0.348], [0.000, 0.000, 0.000], [0.256, 0.925, 0.652], [0.667, 0.333, 0.055], [0.333, 0.667, 0.945], [0.667, 0.333, 0.280], [0.075, 0.332, 0.652]]
}

=====

No. 14
{
  "formula": "BaBeRuO5",
  "functional": "PBE",
  "state": "optimized geometry",
  "formation_energy_uncorrected_mev_per_atom": -1705,
  "lattice": [[-0.490, -5.498, -1.195], [1.813, 0.351, 5.337], [-6.887, 2.237, 0.425]],
  "species": ["O", "Ba", "Be", "Ba", "Be", "O", "Ru", "O", "O", "O", "O", "O", "Ru", "O", "O", "O"],
  "fractional_positions": [[0.717, 0.114, 0.391], [0.659, 0.341, 0.750], [0.305, 0.695, 0.750], [0.341, 0.659, 0.250], [0.695, 0.305, 0.250], [0.053, 0.947, 0.250], [0.000, 0.000, 0.000], [0.947, 0.053, 0.750], [0.380, 0.222, 0.095], [0.620, 0.778, 0.905], [0.114, 0.717, 0.891], [0.222, 0.380, 0.595], [0.000, 0.000, 0.500], [0.283, 0.886, 0.609], [0.886, 0.283, 0.109], [0.778, 0.620, 0.405]]
}

=====

No. 15
{
  "formula": "Ba2BeRuO6",
  "functional": "PBE",
  "state": "optimized geometry",
  "formation_energy_uncorrected_mev_per_atom": -1970,
  "lattice": [[5.591, 0.000, 0.000], [2.795, 4.842, 0.000], [2.795, 1.614, 10.137]],
  "species": ["Ru", "O", "Ru", "Ba", "O", "O", "O", "O", "O", "O", "O", "Be", "Ba", "Ba", "O", "Ba", "O", "Be", "O", "O"],
  "fractional_positions": [[0.000, 0.000, 0.000], [0.857, 0.376, 0.392], [0.500, 0.500, 0.500], [0.873, 0.873, 0.380], [0.792, 0.303, 0.114], [0.208, 0.697, 0.886], [0.624, 0.624, 0.608], [0.624, 0.143, 0.608], [0.697, 0.208, 0.886], [0.792, 0.792, 0.114], [0.376, 0.376, 0.392], [0.374, 0.374, 0.877], [0.127, 0.127, 0.620], [0.726, 0.726, 0.821], [0.303, 0.792, 0.114], [0.274, 0.274, 0.179], [0.208, 0.208, 0.886], [0.626, 0.626, 0.123], [0.376, 0.857, 0.392], [0.143, 0.624, 0.608]]
}

=====

No. 16
{
  "formula": "BaBeS2O8",
  "functional": "PBE",
  "state": "optimized geometry",
  "formation_energy_uncorrected_mev_per_atom": -1913,
  "lattice": [[-1.290, 3.067, 3.370], [2.578, -0.165, 3.969], [4.933, 5.505, -2.145]],
  "species": ["O", "S", "O", "O", "S", "Ba", "O", "Be", "O", "O", "O", "O"],
  "fractional_positions": [[0.229, 0.708, 0.823], [0.636, 0.636, 0.195], [0.708, 0.229, 0.823], [0.682, 0.682, 0.380], [0.364, 0.364, 0.805], [0.000, 0.000, 0.500], [0.784, 0.784, 0.067], [0.000, 0.000, 0.000], [0.771, 0.292, 0.177], [0.292, 0.771, 0.177], [0.318, 0.318, 0.620], [0.216, 0.216, 0.933]]
}

=====

No. 17
{
  "formula": "BaBe2SO2",
  "functional": "PBE",
  "state": "optimized geometry",
  "formation_energy_uncorrected_mev_per_atom": -2248,
  "lattice": [[4.581, 0.000, 0.000], [0.000, 6.114, -0.040], [0.000, -2.270, 6.642]],
  "species": ["O", "O", "Be", "Ba", "Be", "O", "S", "O", "S", "Ba", "Be", "Be"],
  "fractional_positions": [[0.250, 0.119, 0.347], [0.750, 0.881, 0.653], [0.002, 0.858, 0.795], [0.250, 0.669, 0.333], [0.502, 0.142, 0.205], [0.250, 0.677, 0.716], [0.250, 0.186, 0.941], [0.750, 0.323, 0.284], [0.750, 0.814, 0.059], [0.750, 0.331, 0.667], [0.498, 0.858, 0.795], [0.998, 0.142, 0.205]]
}

=====

No. 18
{
  "formula": "Ba2Be2SbO6",
  "functional": "PBE",
  "state": "optimized geometry",
  "formation_energy_uncorrected_mev_per_atom": -2291,
  "lattice": [[5.610, 0.000, 0.000], [2.805, 4.859, 0.000], [2.805, 1.620, 5.698]],
  "species": ["O", "O", "Ba", "O", "O", "Ba", "Be", "Be", "Sb", "O", "O"],
  "fractional_positions": [[0.734, 0.252, 0.762], [0.252, 0.252, 0.762], [0.780, 0.780, 0.660], [0.252, 0.734, 0.762], [0.266, 0.748, 0.238], [0.220, 0.220, 0.340], [0.413, 0.413, 0.762], [0.587, 0.587, 0.238], [0.000, 0.000, 0.000], [0.748, 0.748, 0.238], [0.748, 0.266, 0.238]]
}

=====

No. 19
{
  "formula": "BaBe2SbO",
  "functional": "PBE",
  "state": "optimized geometry",
  "formation_energy_uncorrected_mev_per_atom": 198,
  "lattice": [[4.315, 0.000, 0.000], [0.000, 7.583, 0.000], [0.000, 0.000, 4.315]],
  "species": ["Be", "O", "Be", "Sb", "Ba"],
  "fractional_positions": [[0.500, 0.000, 0.000], [0.500, 0.500, 0.500], [0.000, 0.000, 0.500], [0.000, 0.000, 0.000], [0.000, 0.500, 0.000]]
}

=====

No. 20
{
  "formula": "Ba3ScBe2O6",
  "functional": "PBE",
  "state": "optimized geometry",
  "formation_energy_uncorrected_mev_per_atom": -2686,
  "lattice": [[5.666, 0.000, 0.000], [-2.833, 4.907, 0.000], [0.000, 0.000, 7.172]],
  "species": ["O", "Ba", "Be", "O", "O", "O", "Be", "O", "Ba", "Ba", "O", "Sc"],
  "fractional_positions": [[0.350, 0.175, 0.682], [0.333, 0.667, 0.680], [0.333, 0.667, 0.285], [0.175, 0.825, 0.318], [0.825, 0.650, 0.682], [0.175, 0.350, 0.318], [0.667, 0.333, 0.715], [0.825, 0.175, 0.682], [0.000, 0.000, 0.000], [0.667, 0.333, 0.320], [0.650, 0.825, 0.318], [0.000, 0.000, 0.500]]
}